Record 1
AgP2Cl | PBE | relaxed

Calculated values
- DOS(E_F) (states/eV per cell) = 2.01
- E above lowest polymorph (meV/atom) = 597.6
- total magnetic moment (μB/atom) = 0.000

Lattice parameters (Å, degrees): 4.622 14.561 2.796 90.00 90.00 90.00
Space group Cmmm (No. 65)
Asymmetric unit:
Ag  0.000  0.000  0.000 x2
P  0.250  0.250  0.500 x4
Cl  0.000  0.500  0.000 x2


Record 2
ErNbZn | PBE | relaxed

Calculated values
- DOS(E_F) (states/eV per cell) = 9.88
- ΔH_f (0 K) (eV per atom) = 0.04
- total magnetic moment (μB/atom) = 0.000

Lattice parameters (Å, degrees): 4.370 4.387 12.682 90.00 90.00 90.00
Space group Cmmm (No. 65)
Asymmetric unit:
Er  0.000  0.000  0.173 x4
Nb  0.000  0.500  0.358 x4
Zn  0.000  0.000  0.500 x2
Zn  0.000  0.500  0.000 x2


Record 3
Na3Ac3CrS8 | PBE | relaxed

Calculated values
- DOS(E_F) (states/eV per cell) = 27.69
- VASP energy (eV/cell) = -242.38
- total magnetic moment (μB/atom) = 0.127

Lattice parameters (Å, degrees): 8.3805 8.3805 20.1183 90.00 90.00 120.00
Space group R-3m (No. 166, hexagonal axes)
Asymmetric unit:
Na  0.0000  0.5000  0.0000 x9
Ac  0.0000  0.5000  0.5000 x9
Cr  0.0000  0.0000  0.5000 x3
S  0.0000  0.0000  0.2497 x6
S  0.0532  0.5266  0.2369 x18


Record 4
BaCd2AgAu2 | PBE | relaxed

Calculated values
- DOS(E_F) (states/eV per cell) = 1.66
- ΔH_f (0 K) (eV per atom) = -0.38
- total magnetic moment (μB/atom) = 0.000

Lattice parameters (Å, degrees): 4.8392 4.8392 7.5123 90.00 90.00 120.00
Space group P-3m1 (No. 164)
Asymmetric unit:
Ba  0.0000  0.0000  0.0000 x1
Cd  0.3333  0.6667  0.3344 x2
Ag  0.0000  0.0000  0.5000 x1
Au  0.3333  0.6667  0.7224 x2


Record 5
TlSb2Au2 | PBE | relaxed

Calculated values
- DOS(E_F) (states/eV per cell) = 3.15
- E above lowest polymorph (meV/atom) = 0.0
- total magnetic moment (μB/atom) = 0.000

Lattice parameters (Å, degrees): 6.443 7.027 7.438 96.53 99.97 117.26
Space group P-1 (No. 2)
Asymmetric unit:
Tl  0.210  0.453  0.384 x2
Sb  0.226  0.990  0.418 x2
Sb  0.289  0.582  0.978 x2
Au  0.269  0.232  0.760 x2
Au  0.347  0.833  0.723 x2


Record 6
SrCoBr | PBE | relaxed

Calculated values
- VASP energy (eV/cell) = -41.66
- total magnetic moment (μB/atom) = 0.667

Lattice parameters (Å, degrees): 7.437 7.437 7.437 90.00 90.00 90.00
Space group F-43m (No. 216)
Asymmetric unit:
Sr  0.000  0.000  0.000 x4
Co  0.250  0.250  0.750 x4
Br  0.250  0.250  0.250 x4